(1)
The following is a PBE calculation of a relaxed structure of ScCuBr2, from the Alexandria database.

Output
Crystal system ... cubic
Total magnetic moment ... 0.000 Bohr magnetons per cell
Total energy ... -14.30 eV per cell
Energy above the most stable polymorph in this dataset ... 611.7 meV per atom
Formation energy (no corrections) ... -132 meV/atom

Cell: 4.987 4.987 4.987 Å, 60.00 60.00 60.00°
Fractional coordinates of all 4 atoms:
Sc1 0.000 0.000 0.000
Cu1 0.750 0.750 0.750
Br1 0.250 0.250 0.250
Br2 0.500 0.500 0.500

(2)
The following is a PBE calculation of a relaxed structure of In4Pd15Pb, from the Alexandria database.

Output
Crystal system ... tetragonal
Total magnetic moment ... 0.000 Bohr magnetons per cell
Total energy ... -100.50 eV per cell

Cell: 4.049 4.049 20.303 Å, 90.00 90.00 90.00°
Fractional coordinates of all 20 atoms:
In1 0.000 0.000 0.099
In2 0.000 0.000 0.297
In3 0.000 0.000 0.703
In4 0.000 0.000 0.901
Pd1 0.000 0.500 0.000
Pd2 0.000 0.500 0.198
Pd3 0.000 0.500 0.397
Pd4 0.000 0.500 0.603
Pd5 0.000 0.500 0.802
Pd6 0.500 0.000 0.000
Pd7 0.500 0.000 0.198
Pd8 0.500 0.000 0.397
Pd9 0.500 0.000 0.603
Pd10 0.500 0.000 0.802
Pd11 0.500 0.500 0.099
Pd12 0.500 0.500 0.298
Pd13 0.500 0.500 0.500
Pd14 0.500 0.500 0.702
Pd15 0.500 0.500 0.901
Pb1 0.000 0.000 0.500